Record 1
A plane-wave DFT calculation with SCAN was carried out for a PBEsol-optimized structure of ErSnAu.

POSCAR file:
```
ErSnAu
1.0
4.6541 0.0000 0.0000
2.3270 4.0305 0.0000
2.3270 1.3435 3.8000
Au Sn Er
1 1 1
direct
0.2500 0.2500 0.2500
0.0000 0.0000 0.0000
0.5000 0.5000 0.5000
```

## Properties
As for the magnetic moment: 0.0 μB per cell. As for the energy of formation from the pure elements: -1115 meV per atom. As for the space-group type: F-43m, No. 216. As for the crystal system: cubic.


Record 2
A plane-wave DFT calculation with SCAN was carried out for a PBEsol-optimized structure of Mn2RuSe.

POSCAR file:
```
Mn2RuSe
1.0
2.8038 0.0000 0.0000
0.0000 4.1938 0.0000
0.0000 0.0000 4.1938
Mn Ru Se
2 1 1
direct
0.0000 0.0000 0.5000
0.0000 0.5000 0.0000
0.5000 0.5000 0.5000
0.5000 0.0000 0.0000
```

## Properties
As for the formation energy (no corrections): 1.1 eV/f.u. As for the magnetic moment: 6.6 μB per cell. As for the space-group type: P4/mmm, No. 123. As for the crystal system: tetragonal.


Record 3
A plane-wave DFT calculation with SCAN was carried out for a PBEsol-optimized structure of BaMoRh2.

POSCAR file:
```
BaMoRh2
1.0
2.9215 0.0231 0.0236
-0.0299 5.0509 0.0578
-0.0299 -0.0473 5.0511
Ba Mo Rh
1 1 2
direct
0.5000 0.5000 0.5000
0.5000 0.0000 0.0000
0.0000 0.5000 0.0000
0.0000 0.0000 0.5000
```

## Properties
As for the magnetic moment: 0.0 μB per cell. As for the energy of formation from the pure elements: 743 meV per atom. As for the space-group type: C2/m, No. 12. As for the polymorph energy (0 for the lowest one): 346 meV/atom. As for the crystal system: monoclinic.


Question: magnetic moment of number 2 (Mn2RuSe)?
Answer: 6.6 μB per cell